A plane-wave DFT calculation with GGA-PBE was carried out for a relaxed structure of KAuF2.

Values from the calculation:
Total energy (eV per atom): -3.64
V (Å³ per atom): 17.15

Cell lengths 5.6363, 5.6363, 5.6363 Å; angles 107.26, 107.26, 114.00 degrees
With the nearest neighbours (Å) after each atom.
Fractional coordinates of all 8 atoms:
1 K 0.2500 0.2500 0.0000  8 F 2.84, 2 K 3.07
2 K 0.7500 0.7500 0.0000  8 F 2.84, 2 K 3.07
3 Au 0.0000 0.5000 0.5000  2 F 2.04
4 Au 0.5000 0.0000 0.5000  2 F 2.04
5 F 0.2162 0.7162 0.9324  1 Au 2.04
6 F 0.2838 0.2162 0.5000  1 Au 2.04
7 F 0.7162 0.7838 0.5000  1 Au 2.04
8 F 0.7838 0.2838 0.0676  1 Au 2.04